(1)
5
Lattice="-3.2815 1.3948 3.5115 -3.6643 -0.0407 -3.4081 -0.9673 -5.0457 1.1002" Properties=species:S:1:pos:R:3 comment="Mn2CdPtBr | Alexandria | PBE-GGA | optimized geometry" vol_a3_per_cell=132 final_energy_ev_per_fu=-25.53 total_magnetization_mub_per_fu=9.5 pbc="T T T"
Mn -1.8322 -0.0203 -1.7041
Mn -1.6407 0.6974 1.7558
Br -3.9565 -1.8458 0.6018
Pt 0.0000 0.0000 0.0000
Cd -0.4837 -2.5229 0.5501

---

(2)
8
Lattice="-3.9257 7.0947 -6.7860 5.2192 -4.6819 -7.9143 -1.2402 -0.2205 -7.7503" Properties=species:S:1:pos:R:3 comment="Ca2NbOs | Alexandria | PBE-GGA | optimized geometry" vol_a3_per_cell=268 formation_enthalpy_0k_ev_per_atom=0.813 de_polymorph_ev_per_atom=0.0000 total_magnetization_mub_per_fu=1.1 pbc="T T T"
Nb 0.6467 1.2064 -7.3501
Nb 2.3129 -1.8480 -11.5073
Os 0.0000 0.0000 0.0000
Os -2.2596 4.0403 -10.9432
Ca -2.7046 4.8662 -8.1938
Ca -0.8711 3.9279 -13.4925
Ca -1.2340 1.4471 -10.1291
Ca -4.2287 5.9201 -11.9574